(1)
# TaTl2As

A relaxed TaTl2As crystal (PBE-GGA, Alexandria).

The calculation puts the energy above the most stable polymorph in this dataset at 51.24 kJ per mole of atoms. The value obtained for the total energy is -4.6810 eV/atom. The energy of formation from the pure elements is 0.628 eV per atom.

The structure belongs to space group Cmmm (No. 65); the cell edges are 3.7314, 5.0522 and 9.4370 Å and the angles 90.00°, 90.00° and 90.00°. The inequivalent atoms are Ta at (0.0000, 0.0000, 0.0000), Tl at (0.0000, 0.5000, 0.2473) and As at (0.0000, 0.0000, 0.5000).



(2)
# HgPRhCl2

A relaxed HgPRhCl2 crystal (PBE-GGA, Alexandria).

The calculation puts the energy above the most stable polymorph in this dataset at 0.00 kJ per mole of atoms. As for the formation energy from raw total energies: 0.21 eV per formula unit. The value obtained for the total energy is -3.3093 eV/atom.

The structure belongs to space group P4/mmm (No. 123); the cell edges are 5.0051, 5.0051 and 4.5097 Å and the angles 90.00°, 90.00° and 90.00°. The inequivalent atoms are Hg at (0.0000, 0.0000, 0.0000), P at (0.5000, 0.5000, 0.0000), Rh at (0.5000, 0.5000, 0.5000) and Cl at (0.0000, 0.5000, 0.5000).



(3)
# PrSn4Ru

A relaxed PrSn4Ru crystal (PBE-GGA, Alexandria).

The value obtained for the total energy is -5.2135 eV/atom. The energy of formation from the pure elements is -0.202 eV per atom.

The structure belongs to space group P4/mmm (No. 123); the cell edges are 4.5590, 4.5590 and 7.9729 Å and the angles 90.00°, 90.00° and 90.00°. The inequivalent atoms are Pr at (0.0000, 0.0000, 0.0000), Sn at (0.0000, 0.5000, 0.3046) and Ru at (0.5000, 0.5000, 0.5000).



(4)
# Pr3ErSe6

A relaxed Pr3ErSe6 crystal (PBE-GGA, Alexandria).

As for the formation energy from raw total energies: -18.65 eV per formula unit. The value obtained for the total energy is -5.8461 eV/atom.

The structure belongs to space group R-3 (No. 148, hexagonal axes); the cell edges are 12.3369, 12.3369 and 14.6058 Å and the angles 90.00°, 90.00° and 120.00°. The inequivalent atoms are Pr at (0.0512, 0.2715, 0.2010), Er at (0.0000, 0.0000, 0.0000), Er at (0.0000, 0.0000, 0.5000), Se at (0.0208, 0.2068, 0.3985) and Se at (0.0323, 0.1924, 0.8808).



(5)
# LiCrIr2

A relaxed LiCrIr2 crystal (PBE-GGA, Alexandria).

The value obtained for the total energy is -7.3292 eV/atom. The energy of formation from the pure elements is -0.014 eV per atom.

The structure belongs to space group I-4m2 (No. 119); the cell edges are 3.6385, 3.6385 and 7.9555 Å and the angles 90.00°, 90.00° and 90.00°. The inequivalent atoms are Li at (0.0000, 0.0000, 0.0000), Cr at (0.0000, 0.5000, 0.7500), Ir at (0.0000, 0.0000, 0.5000) and Ir at (0.0000, 0.5000, 0.2500).



(6)
# Ba2SrIr

A relaxed Ba2SrIr crystal (PBE-GGA, Alexandria).

The calculation puts the energy above the most stable polymorph in this dataset at 45.81 kJ per mole of atoms. The value obtained for the total energy is -3.2936 eV/atom. The energy of formation from the pure elements is 0.304 eV per atom.

The structure belongs to space group I-4m2 (No. 119); the cell edges are 5.7072, 5.7072 and 8.0945 Å and the angles 90.00°, 90.00° and 90.00°. The inequivalent atoms are Ba at (0.0000, 0.0000, 0.0000), Ba at (0.0000, 0.5000, 0.2500), Sr at (0.0000, 0.0000, 0.5000) and Ir at (0.0000, 0.5000, 0.7500).



(7)
# TlCuH2Ru

A relaxed TlCuH2Ru crystal (PBE-GGA, Alexandria).

The value obtained for the total energy is -3.9358 eV/atom.

The structure belongs to space group P4/mmm (No. 123); the cell edges are 3.6588, 3.6588 and 4.9957 Å and the angles 90.00°, 90.00° and 90.00°. The inequivalent atoms are Tl at (0.0000, 0.0000, 0.0000), Cu at (0.5000, 0.5000, 0.0000), H at (0.0000, 0.5000, 0.5000) and Ru at (0.5000, 0.5000, 0.5000).



(8)
# H3SF

A relaxed H3SF crystal (PBE-GGA, Alexandria).

The calculation puts the energy above the most stable polymorph in this dataset at 0.00 kJ per mole of atoms. The value obtained for the total energy is -3.9522 eV/atom.

The structure belongs to space group R-3 (No. 148, hexagonal axes); the cell edges are 14.1559, 14.1559 and 7.6118 Å and the angles 90.00°, 90.00° and 120.00°. The inequivalent atoms are H at (0.0343, 0.7728, 0.3199), H at (0.0530, 0.2602, 0.9670), H at (0.1031, 0.5416, 0.3396), S at (0.0073, 0.1687, 0.7529) and F at (0.0265, 0.4374, 0.7402).